No. 1
## PmTlHg (PBE-GGA)

Data for PmTlHg after structural relaxation. Values from VASP.

Computed properties:
Energy of formation = -0.3992 eV per atom
Total moment = 0.0 Bohr magnetons per cell
Excess energy over the best structure of this formula in the dataset = 0.000 eV per atom

```
&SYSTEM
  ibrav = 0, nat = 6, ntyp = 3
/
ATOMIC_SPECIES
Pm 145.00 Pm.upf
Tl 204.38 Tl.upf
Hg 200.59 Hg.upf
CELL_PARAMETERS angstrom
5.339 0.000 0.000
-2.669 4.624 0.000
0.000 0.000 6.589
ATOMIC_POSITIONS crystal
Pm 0.333 0.667 0.250
Pm 0.667 0.333 0.750
Tl 0.000 0.000 0.000
Tl 0.000 0.000 0.500
Hg 0.333 0.667 0.750
Hg 0.667 0.333 0.250
```

---

No. 2
## Pm2TlHg2 (PBE-GGA)

Data for Pm2TlHg2 after structural relaxation. Values from VASP.

Computed properties:
Energy of formation = -0.3986 eV per atom
Total moment = 0.0 Bohr magnetons per cell
Excess energy over the best structure of this formula in the dataset = 0.000 eV per atom

```
&SYSTEM
  ibrav = 0, nat = 10, ntyp = 3
/
ATOMIC_SPECIES
Pm 145.00 Pm.upf
Tl 204.38 Tl.upf
Hg 200.59 Hg.upf
CELL_PARAMETERS angstrom
8.357 0.000 0.000
0.000 8.357 0.000
0.000 0.000 4.021
ATOMIC_POSITIONS crystal
Pm 0.172 0.328 0.000
Pm 0.328 0.828 0.000
Pm 0.672 0.172 0.000
Pm 0.828 0.672 0.000
Tl 0.000 0.000 0.500
Tl 0.500 0.500 0.500
Hg 0.127 0.627 0.500
Hg 0.373 0.127 0.500
Hg 0.627 0.873 0.500
Hg 0.873 0.373 0.500
```

---

No. 3
## Pm6TlHg (PBE-GGA)

Data for Pm6TlHg after structural relaxation. Values from VASP.

Computed properties:
Energy of formation = -0.1842 eV per atom
Total moment = 0.7 Bohr magnetons per cell

```
&SYSTEM
  ibrav = 0, nat = 8, ntyp = 3
/
ATOMIC_SPECIES
Pm 145.00 Pm.upf
Tl 204.38 Tl.upf
Hg 200.59 Hg.upf
CELL_PARAMETERS angstrom
4.943 0.000 0.000
0.000 4.943 0.000
0.000 0.000 9.852
ATOMIC_POSITIONS crystal
Pm 0.000 0.000 0.000
Pm 0.000 0.000 0.500
Pm 0.000 0.500 0.248
Pm 0.000 0.500 0.752
Pm 0.500 0.000 0.248
Pm 0.500 0.000 0.752
Tl 0.500 0.500 0.500
Hg 0.500 0.500 0.000
```

---

No. 4
## Pm6TlHg6 (PBE-GGA)

Data for Pm6TlHg6 after structural relaxation. Values from VASP.

Computed properties:
Energy of formation = -0.2938 eV per atom
Total moment = 1.6 Bohr magnetons per cell

```
&SYSTEM
  ibrav = 0, nat = 13, ntyp = 3
/
ATOMIC_SPECIES
Pm 145.00 Pm.upf
Tl 204.38 Tl.upf
Hg 200.59 Hg.upf
CELL_PARAMETERS angstrom
6.355 0.000 0.000
-3.178 5.504 0.000
0.000 0.000 10.761
ATOMIC_POSITIONS crystal
Pm 0.000 0.000 0.181
Pm 0.000 0.000 0.819
Pm 0.333 0.667 0.000
Pm 0.333 0.667 0.500
Pm 0.667 0.333 0.000
Pm 0.667 0.333 0.500
Tl 0.000 0.000 0.500
Hg 0.000 0.500 0.252
Hg 0.000 0.500 0.748
Hg 0.500 0.000 0.252
Hg 0.500 0.000 0.748
Hg 0.500 0.500 0.252
Hg 0.500 0.500 0.748
```

---

No. 5
## PmTlHg3 (PBE-GGA)

Data for PmTlHg3 after structural relaxation. Values from VASP.

Computed properties:
Energy of formation = -0.2177 eV per atom
Total moment = 0.0 Bohr magnetons per cell
Excess energy over the best structure of this formula in the dataset = 0.000 eV per atom

```
&SYSTEM
  ibrav = 0, nat = 10, ntyp = 3
/
ATOMIC_SPECIES
Pm 145.00 Pm.upf
Tl 204.38 Tl.upf
Hg 200.59 Hg.upf
CELL_PARAMETERS angstrom
8.907 -2.391 0.000
8.907 2.391 0.000
-2.437 0.000 6.195
ATOMIC_POSITIONS crystal
Pm 0.110 0.110 0.167
Pm 0.890 0.890 0.833
Tl 0.314 0.314 0.442
Tl 0.686 0.686 0.558
Hg 0.088 0.088 0.650
Hg 0.284 0.284 0.913
Hg 0.486 0.486 0.213
Hg 0.514 0.514 0.787
Hg 0.716 0.716 0.087
Hg 0.912 0.912 0.350
```

---

No. 6
## Pm9Tl2Hg (PBE-GGA)

Data for Pm9Tl2Hg after structural relaxation. Values from VASP.

Computed properties:
Energy of formation = -0.1905 eV per atom
Total moment = 1.0 Bohr magnetons per cell

```
&SYSTEM
  ibrav = 0, nat = 12, ntyp = 3
/
ATOMIC_SPECIES
Pm 145.00 Pm.upf
Tl 204.38 Tl.upf
Hg 200.59 Hg.upf
CELL_PARAMETERS angstrom
4.954 0.000 0.000
0.000 4.954 0.000
0.000 0.000 14.794
ATOMIC_POSITIONS crystal
Pm 0.000 0.000 0.000
Pm 0.000 0.000 0.330
Pm 0.000 0.000 0.670
Pm 0.000 0.500 0.164
Pm 0.000 0.500 0.500
Pm 0.000 0.500 0.836
Pm 0.500 0.000 0.164
Pm 0.500 0.000 0.500
Pm 0.500 0.000 0.836
Tl 0.500 0.500 0.333
Tl 0.500 0.500 0.667
Hg 0.500 0.500 0.000
```